# Mg2MnMoO6

A relaxed Mg2MnMoO6 crystal (GGA+U, Alexandria).

E_tot	-6.81	eV per atom
crystal system	triclinic

Cell lengths 5.1850, 5.1338, 5.5506 Å; angles 63.59, 61.46, 61.90 degrees
Closest atoms and distances in Å follow each position.
Fractional coordinates of all 10 atoms:
Mg1 0.5205 0.5275 0.4344  6 O 2.03-2.27
O1 0.5799 0.2383 0.2328  1 Mo 1.88, 1 Mg 2.07
O2 0.4345 0.7113 0.7536  1 Mn 1.95, 2 Mg 2.03-2.14, 1 Mo 2.12
Mo1 0.3152 0.3140 0.0514  5 O 1.88-2.10
O3 0.1998 0.9320 0.2704  1 Mo 1.99, 1 Mn 2.02, 1 Mg 2.10
O4 0.9300 0.6089 0.2563  1 Mo 2.02, 2 Mg 2.03-2.14, 1 Mn 2.07
O5 0.1251 0.4089 0.7749  1 Mo 1.97, 2 Mg 2.04-2.14, 1 Mn 2.17
Mn1 0.8204 0.8093 0.5584  5 O 1.95-2.17
Mg2 0.0243 0.0122 0.9282  5 O 2.03-2.24
O6 0.7120 0.0991 0.7547  1 Mn 1.95, 1 Mg 2.04, 1 Mo 2.10